1.
The following is a DFT calculation (PBE) of a geometry-optimized Cr3PtC structure.

```
Cr3PtC
1.0
-2.3256 2.9650 0.8279
-1.5855 -0.2643 -3.5073
-2.6387 -2.4544 1.3778
Cr Pt C
3 1 1
direct
0.5000 0.0000 0.0000
0.0000 0.5000 0.0000
0.0000 0.0000 0.5000
0.5000 0.5000 0.5000
0.0000 0.0000 0.0000
```

Crystal system   cubic
ΔE to the lowest computed polymorph   0.0 meV per atom
Formation enthalpy at 0 K   -8 kJ/mol of atoms
Density of states at the Fermi level   5.4 states/eV/f.u.

=====

2.
The following is a DFT calculation (PBE) of a geometry-optimized MnNiTe2 structure.

```
MnNiTe2
1.0
-6.8999 -1.7925 4.1814
-6.2684 -4.9402 2.1462
-4.4235 -4.3946 5.4245
Te Ni Mn
2 1 1
direct
0.8991 0.8991 0.8991
0.1009 0.1009 0.1009
0.0000 0.0000 0.0000
0.5000 0.5000 0.5000
```

Crystal system   trigonal
ΔE_f (raw)   189 meV/atom
Density of states at the Fermi level   3.3 states/eV/f.u.

=====

3.
The following is a DFT calculation (PBE) of a geometry-optimized Y2ScRh structure.

```
Y2ScRh
1.0
-3.0966 -4.5030 2.8383
0.3405 -5.3837 2.9702
-0.1111 0.3434 5.1875
Rh Y Sc
1 2 1
direct
0.4906 0.4906 0.5094
0.2044 0.2044 0.2956
0.0009 0.0009 0.9992
0.8041 0.8042 0.6958
```

Crystal system   orthorhombic
ΔE to the lowest computed polymorph   0.0 meV per atom
Formation enthalpy at 0 K   -44 kJ/mol of atoms
Density of states at the Fermi level   4.2 states/eV/f.u.

=====

4.
The following is a DFT calculation (PBE) of a geometry-optimized Zr2CdN structure.

```
Zr2CdN
1.0
-3.2427 -0.5538 -5.7565
5.6006 -1.9455 -2.9677
0.3949 -4.6846 -3.5900
N Cd Zr
2 2 4
direct
0.2500 0.7500 0.5000
0.5000 0.5000 0.0000
0.7500 0.2500 0.5000
0.0000 0.0000 0.0000
0.5216 0.1250 0.2500
0.8750 0.7716 0.7500
0.3750 0.4784 0.7500
0.2284 0.6250 0.2500
```

Crystal system   tetragonal
ΔE to the lowest computed polymorph   448.3 meV per atom
ΔE_f (raw)   -499 meV/atom
Density of states at the Fermi level   5.8 states/eV/f.u.

=====

5.
The following is a DFT calculation (PBE) of a geometry-optimized TlCrTe2 structure.

```
TlCrTe2
1.0
4.7907 0.0000 0.0000
0.0000 4.7673 -0.4218
0.0000 0.5064 6.4272
Te Cr Tl
2 1 1
direct
0.5000 0.3796 0.1773
0.0000 0.8737 0.8230
0.5000 0.8771 0.9998
0.0000 0.3695 0.4999
```

Crystal system   monoclinic
ΔE_f (raw)   -25 meV/atom
Density of states at the Fermi level   2.3 states/eV/f.u.

=====

6.
The following is a DFT calculation (PBE) of a geometry-optimized Na3Pm3UO8 structure.

```
Na3Pm3UO8
1.0
7.1052 -0.0001 0.0000
-3.5526 6.1531 -0.0215
0.0001 -4.0829 5.6670
O Na Pm U
8 3 3 1
direct
0.7772 0.0209 0.2982
0.2228 0.9791 0.7018
0.7385 0.4770 0.7154
0.7563 0.9791 0.7018
0.2437 0.0209 0.2982
0.7773 0.5545 0.2982
0.2615 0.5230 0.2846
0.2227 0.4455 0.7018
0.5000 0.5000 0.0000
0.0000 0.0000 0.0000
0.0000 0.5000 0.0000
0.0000 0.5000 0.5000
0.5000 0.0000 0.5000
0.5000 0.5000 0.5000
0.0000 0.0000 0.5000
```

Crystal system   trigonal
ΔE_f (raw)   -2730 meV/atom
Density of states at the Fermi level   6.3 states/eV/f.u.

=====

7.
The following is a DFT calculation (PBE) of a geometry-optimized Ta2Nb4W structure.

```
Ta2Nb4W
1.0
4.9919 0.0000 0.0000
0.0000 5.1344 0.0000
0.0000 -2.5672 5.3866
Nb W Ta
4 1 2
direct
0.0000 0.1756 0.3512
0.5000 0.3646 0.7291
0.5000 0.6354 0.2709
0.0000 0.8244 0.6488
0.0000 0.5000 0.0000
0.5000 0.8820 0.7640
0.5000 0.1180 0.2360
```

Crystal system   orthorhombic
ΔE to the lowest computed polymorph   954.8 meV per atom
Formation enthalpy at 0 K   90 kJ/mol of atoms
Density of states at the Fermi level   5.9 states/eV/f.u.

=====

8.
The following is a DFT calculation (PBE) of a geometry-optimized PmNdZnGe structure.

```
PmNdZnGe
1.0
-2.6056 2.2807 -3.8474
-5.1596 -0.3618 -0.2022
-2.9260 4.1594 0.9652
Pm Zn Nd Ge
1 1 1 1
direct
0.0000 0.0000 0.0000
0.7500 0.7500 0.7500
0.5000 0.5000 0.5000
0.2500 0.2500 0.2500
```

Crystal system   cubic
ΔE to the lowest computed polymorph   63.1 meV per atom
Formation enthalpy at 0 K   -50 kJ/mol of atoms
Density of states at the Fermi level   3.1 states/eV/f.u.